A plane-wave DFT calculation with GGA+U was carried out for crystalline ScHgMo2O8 at its relaxed geometry.

Output
Magnetization ... 0.0 μB per cell
Crystal system ... trigonal
E_tot ... -6.773 eV per atom
SG ... R-3, No. 148
N(E_F) ... 3.21 states/eV/f.u.

Cell: 5.444 5.444 8.747 Å, 71.87 71.87 60.00°
Fractional positions:
Sc (0.000, 0.000, 0.000)
Hg (0.500, 0.500, 0.500)
Mo (0.258, 0.258, 0.226)
Mo (0.742, 0.742, 0.774)
O (0.185, 0.185, 0.445)
O (0.616, 0.233, 0.153)
O (0.815, 0.815, 0.555)
O (0.998, 0.616, 0.153)
O (0.002, 0.384, 0.847)
O (0.233, 0.998, 0.153)
O (0.767, 0.002, 0.847)
O (0.384, 0.767, 0.847)